# TbDyIr2

Crystalline TbDyIr2 at its relaxed geometry (PBEsol, Alexandria via LeMat-Bulk).

Results
Formation enthalpy at 0 K: -767 meV/atom
Electronic total energy: -8.176 eV/atom
Total moment: 0.0000 μB per atom

a = 6.7675 Å, b = 6.7675 Å, c = 6.7675 Å
α = 90.00°, β = 90.00°, γ = 90.00°
Element x y z (fractional)
1 Tb 0.0000 0.0000 0.0000
2 Tb 0.0000 0.5000 0.5000
3 Tb 0.5000 0.0000 0.5000
4 Tb 0.5000 0.5000 0.0000
5 Dy 0.0000 0.0000 0.5000
6 Dy 0.0000 0.5000 0.0000
7 Dy 0.5000 0.0000 0.0000
8 Dy 0.5000 0.5000 0.5000
9 Ir 0.2500 0.2500 0.2500
10 Ir 0.2500 0.2500 0.7500
11 Ir 0.2500 0.7500 0.2500
12 Ir 0.2500 0.7500 0.7500
13 Ir 0.7500 0.2500 0.2500
14 Ir 0.7500 0.2500 0.7500
15 Ir 0.7500 0.7500 0.2500
16 Ir 0.7500 0.7500 0.7500